[1]
# MnTc4

Crystalline MnTc4 at its relaxed geometry (PBE, Alexandria via LeMat-Bulk).

Cell and atoms, written as extended XYZ:
```
5
Lattice="3.530 -3.142 0.344 -4.153 -2.280 0.041 0.432 2.423 -4.049" Properties=species:S:1:pos:R:3 pbc="T T T"
Mn 0.000 0.000 0.000
Tc 1.765 -1.571 0.172
Tc -0.096 -1.499 -1.832
Tc -2.077 -1.140 0.020
Tc 0.216 1.212 -2.024
```

Uncorrected energy ... -9.00 eV/atom
SG ... No. 229
Energy above the lowest structure with this stoichiometry ... 99.0 kJ/mol of atoms

---

[2]
# MnTc

Crystalline MnTc at its relaxed geometry (PBE, Alexandria via LeMat-Bulk).

Cell and atoms, written as extended XYZ:
```
4
Lattice="3.710 0.000 0.000 -1.855 4.187 0.013 0.000 1.633 3.331" Properties=species:S:1:pos:R:3 pbc="T T T"
Mn 0.000 0.000 0.000
Mn 1.855 3.318 2.505
Tc 0.000 2.502 0.839
Tc 1.855 0.817 1.665
```

Uncorrected energy ... -9.65 eV/atom
SG ... No. 141

---

[3]
# MnTc3

Crystalline MnTc3 at its relaxed geometry (PBE, Alexandria via LeMat-Bulk).

Cell and atoms, written as extended XYZ:
```
4
Lattice="2.718 0.000 0.000 -1.359 2.354 0.000 0.000 0.000 8.590" Properties=species:S:1:pos:R:3 pbc="T T T"
Mn 0.000 0.000 0.000
Tc 0.000 0.000 4.295
Tc 0.000 1.569 2.054
Tc 0.000 1.569 6.536
```

Uncorrected energy ... -9.98 eV/atom
SG ... No. 187

---

[4]
# MnTc

Crystalline MnTc at its relaxed geometry (PBE, Alexandria via LeMat-Bulk).

Cell and atoms, written as extended XYZ:
```
16
Lattice="-6.547 2.906 -1.696 0.064 -3.604 -6.418 -3.364 -5.723 3.180" Properties=species:S:1:pos:R:3 pbc="T T T"
Mn -1.943 -1.267 -0.974
Mn -3.941 -6.914 -2.934
Mn -7.943 -2.972 -0.075
Mn -5.868 -1.689 -5.887
Mn -6.867 -4.477 -3.441
Mn -5.564 -0.797 -2.163
Mn -2.956 -3.366 -4.026
Mn -4.309 -4.202 -0.239
Tc -3.643 -2.375 -1.826
Tc -4.502 -4.801 -2.668
Tc -6.221 -3.108 -1.440
Tc -5.329 -2.557 -3.936
Tc -8.567 -5.586 -4.293
Tc -6.125 1.315 -1.897
Tc -1.233 -3.501 -5.391
Tc -3.770 -5.070 1.711
```

Uncorrected energy ... -8.12 eV/atom
SG ... No. 217

---

[5]
# MnTc

Crystalline MnTc at its relaxed geometry (PBE, Alexandria via LeMat-Bulk).

Cell and atoms, written as extended XYZ:
```
4
Lattice="-1.905 1.819 0.309 -4.865 -7.092 0.378 1.103 -1.139 2.126" Properties=species:S:1:pos:R:3 pbc="T T T"
Mn -6.700 -5.200 0.689
Mn -3.368 -5.792 1.952
Tc -2.920 -3.296 1.403
Tc -2.283 -0.604 0.861
```

Uncorrected energy ... -9.59 eV/atom
SG ... No. 166

---

[6]
# MnTc

Crystalline MnTc at its relaxed geometry (PBE, Alexandria via LeMat-Bulk).

Cell and atoms, written as extended XYZ:
```
4
Lattice="3.791 0.000 0.000 -1.895 3.283 0.000 0.000 0.000 5.094" Properties=species:S:1:pos:R:3 pbc="T T T"
Mn 0.000 2.189 1.273
Mn 1.895 1.094 3.820
Tc 0.000 0.000 0.000
Tc 0.000 0.000 2.547
```

Uncorrected energy ... -8.97 eV/atom
SG ... No. 194